This record from Alexandria describes a relaxed Lu2TiAg crystal. The functional is PBE-GGA.

As for the energy of formation from the pure elements: -0.3 eV per formula unit. The value obtained for the distance to the lowest polymorph of the same formula is 0.000 eV/f.u. Its crystal system is tetragonal. As for the total DFT energy (no corrections): -20.06 eV/cell.

The space group is P4/mmm (No. 123) and the conventional cell measures 3.343, 3.343 and 8.110 Å, with angles of 90.00, 90.00 and 90.00 degrees. Symmetry generates all atoms from Lu at (0.000, 0.000, 0.248), Ti at (0.500, 0.500, 0.500) and Ag at (0.500, 0.500, 0.000).